# Tb6CeY2 | Alexandria | PBE | optimized geometry
data_Tb6CeY2
_chemical_formula_sum 'Tb6 Ce1 Y2'
_cell_length_a 15.263
_cell_length_b 15.263
_cell_length_c 15.263
_cell_angle_alpha 166.81
_cell_angle_beta 159.19
_cell_angle_gamma 24.72
_symmetry_space_group_name_H-M 'P 1'
_symmetry_Int_Tables_number 1
loop_
_symmetry_equiv_pos_as_xyz
'x,y,z'
loop_
_atom_site_label
_atom_site_type_symbol
_atom_site_fract_x
_atom_site_fract_y
_atom_site_fract_z
_atom_site_occupancy
Tb1 Tb 0.060 0.060 0.000 1
Tb2 Tb 0.283 0.783 0.500 1
Tb3 Tb 0.390 0.390 0.000 1
Tb4 Tb 0.610 0.610 0.000 1
Tb5 Tb 0.717 0.217 0.500 1
Tb6 Tb 0.940 0.940 0.000 1
Ce1 Ce 0.500 0.500 0.000 1
Y1 Y 0.167 0.667 0.500 1
Y2 Y 0.833 0.333 0.500 1
# V (Å³/cell): 288.3
# ΔE_f (meV per atom): 64
# Calculated total energy (eV per atom): -5.119
# Polymorph energy (0 for the lowest one) (eV per atom): 0.000
# Space-group type: No. 71